DFT (PBE-GGA) results for an optimized crystal structure of BaBC2.

- M_tot: 0.00 μB per formula unit
- SG: I4_1/amd, No. 141
- ΔH_f (0 K): 0.8501 eV/atom

Cell lengths 4.5074, 4.5074, 6.0143 Å; angles 67.99, 67.99, 90.00 degrees
With the nearest neighbours (Å) after each atom.
Fractional coordinates of all 8 atoms:
C 0.3751 0.1250 0.2500  2 B 1.70
C 0.3749 0.6250 0.2500  2 B 1.70
Ba 0.7500 0.2500 0.5000  8 C 2.82
Ba 0.0000 0.0000 0.0000  8 C 2.82
B 0.5000 0.5000 0.0000  4 C 1.70
B 0.2500 0.7500 0.5000  4 C 1.70
C 0.3750 0.6249 0.7500  2 B 1.70
C 0.8750 0.6251 0.7500  2 B 1.70